DFT (PBE) results for a relaxed structure of Sc3SbSe.

Cell lengths 8.741, 8.741, 6.220 Å; angles 95.00, 95.00, 100.31 degrees
Positions (direct):
1 Sc 0.039 0.765 0.965
2 Sc 0.151 0.571 0.362
3 Sc 0.235 0.961 0.535
4 Sc 0.283 0.427 0.876
5 Sc 0.427 0.283 0.376
6 Sc 0.429 0.849 0.138
7 Sc 0.571 0.151 0.862
8 Sc 0.573 0.717 0.624
9 Sc 0.717 0.573 0.124
10 Sc 0.765 0.039 0.465
11 Sc 0.849 0.429 0.638
12 Sc 0.961 0.235 0.035
13 Sb 0.087 0.248 0.508
14 Sb 0.248 0.087 0.008
15 Sb 0.752 0.913 0.992
16 Sb 0.913 0.752 0.492
17 Se 0.288 0.712 0.750
18 Se 0.435 0.565 0.250
19 Se 0.565 0.435 0.750
20 Se 0.712 0.288 0.250

ΔE to the lowest computed polymorph: 0.000 eV per atom
DOS at the Fermi energy: 4.231 states/eV/f.u.
space-group type: C2/c, No. 15
uncorrected formation energy: -0.9826 eV per atom

=====

DFT (PBE) results for a relaxed structure of ScSb2Se.

Cell lengths 7.428, 7.428, 7.428 Å; angles 149.85, 147.13, 45.21 degrees
Positions (direct):
1 Sc 0.000 0.000 0.000
2 Sb 0.428 0.428 0.000
3 Sb 0.781 0.281 0.500
4 Se 0.128 0.628 0.500

DOS at the Fermi energy: 1.204 states/eV/f.u.
space-group type: Imm2, No. 44
uncorrected formation energy: -0.5306 eV per atom

=====

DFT (PBE) results for a relaxed structure of Sc3SbSe2.

Cell lengths 8.067, 8.067, 8.067 Å; angles 129.57, 113.85, 87.63 degrees
Positions (direct):
1 Sc 0.000 0.241 0.241
2 Sc 0.000 0.759 0.759
3 Sc 0.500 0.000 0.000
4 Sc 0.500 0.241 0.741
5 Sc 0.500 0.500 0.500
6 Sc 0.500 0.759 0.259
7 Sb 0.283 0.533 0.750
8 Sb 0.717 0.467 0.250
9 Se 0.198 0.172 0.026
10 Se 0.354 0.828 0.526
11 Se 0.646 0.172 0.474
12 Se 0.802 0.828 0.974

ΔE to the lowest computed polymorph: 0.225 eV per atom
DOS at the Fermi energy: 4.761 states/eV/f.u.
space-group type: Imma, No. 74
uncorrected formation energy: -1.1436 eV per atom

=====

DFT (PBE) results for a relaxed structure of ScSb3Se.

Cell lengths 5.342, 5.342, 5.342 Å; angles 90.00, 90.00, 90.00 degrees
Positions (direct):
1 Sc 0.000 0.000 0.000
2 Sb 0.000 0.500 0.500
3 Sb 0.500 0.000 0.500
4 Sb 0.500 0.500 0.000
5 Se 0.500 0.500 0.500

ΔE to the lowest computed polymorph: 0.026 eV per atom
DOS at the Fermi energy: 3.438 states/eV/f.u.
space-group type: Pm-3m, No. 221
uncorrected formation energy: 0.3951 eV per atom